# 1
DFT (PBE) results for Sr2TeAs2 after structural relaxation.

```
10
Lattice="9.143 0.000 0.000 0.000 9.143 0.000 0.000 0.000 3.508" Properties=species:S:1:pos:R:3 pbc="T T T"
Sr 3.257 7.828 0.000
Sr 7.828 5.887 0.000
Sr 5.887 1.315 0.000
Sr 1.315 3.257 0.000
As 1.459 6.030 1.754
As 6.030 7.685 1.754
As 7.685 3.113 1.754
As 3.113 1.459 1.754
Te 0.000 0.000 0.000
Te 4.572 4.572 0.000
```

Output
The total DFT energy (no corrections) comes out at -3.691 eV/atom.



# 2
DFT (PBE) results for SrTe2As after structural relaxation.

```
4
Lattice="-0.172 3.873 4.684 -4.197 -1.828 4.002 5.028 -2.168 -2.644" Properties=species:S:1:pos:R:3 pbc="T T T"
Sr 1.345 1.360 3.174
As -1.978 0.926 3.932
Te -0.131 0.061 0.260
Te -0.761 -1.447 3.020
```

Output
The total DFT energy (no corrections) comes out at -3.696 eV/atom.



# 3
DFT (PBE) results for Sr2TeAs after structural relaxation.

```
4
Lattice="-5.149 3.981 -0.885 -2.872 -3.471 1.094 0.194 1.241 4.454" Properties=species:S:1:pos:R:3 pbc="T T T"
Sr -2.342 -1.951 4.854
Sr -3.579 1.154 1.638
As -4.918 0.038 4.412
Te -1.004 -0.836 2.080
```

Output
The total DFT energy (no corrections) comes out at -4.002 eV/atom.



# 4
DFT (PBE) results for SrTeAs2 after structural relaxation.

```
4
Lattice="-4.062 1.572 0.732 0.137 -1.568 4.127 2.481 5.480 1.999" Properties=species:S:1:pos:R:3 pbc="T T T"
Sr 1.607 3.549 1.295
As 0.341 0.752 0.274
As -1.790 0.383 2.569
Te -0.360 3.540 3.720
```

Output
The total DFT energy (no corrections) comes out at -3.927 eV/atom.



no.,size of the total moment (Bohr magnetons per cell),theoretical density (Mg/m³),ΔE_f (raw) (kJ per mole of atoms)
1,0.00,5.13,-51.1
2,0.00,5.86,-52.3
3,0.40,4.45,-117.1
4,0.00,4.90,-38.2